Record 1
Material: Al2CrGa
Method: DFT, GGA-PBE
State: optimized geometry

Results
E in eV per atom: -5.0781
Volume in Å³ per cell: 58.7
Theoretical density in Mg/m³: 4.974
Calculated formation energy in eV per atom: -0.044
Total magnetic moment in μB per formula unit: 0.81

a = 3.3204 Å, b = 3.3204 Å, c = 5.3201 Å
α = 90.00°, β = 90.00°, γ = 90.00°
Positions (direct):
1 Al 0.0000 0.0000 0.2350
2 Al 0.0000 0.0000 0.7650
3 Cr 0.5000 0.5000 0.0000
4 Ga 0.5000 0.5000 0.5000

Record 2
Material: Al2CrGa
Method: DFT, GGA-PBE
State: optimized geometry

Results
E in eV per atom: -4.5330
Volume in Å³ per cell: 262.4
Theoretical density in Mg/m³: 4.447
Calculated formation energy in eV per atom: 0.501
Total magnetic moment in μB per formula unit: 0.00

a = 7.1398 Å, b = 7.1398 Å, c = 5.1470 Å
α = 90.00°, β = 90.00°, γ = 90.00°
Positions (direct):
1 Al 0.2346 0.7500 0.1250
2 Al 0.2500 0.2346 0.8750
3 Al 0.2500 0.2654 0.3750
4 Al 0.2654 0.7500 0.6250
5 Al 0.7346 0.2500 0.6250
6 Al 0.7500 0.7346 0.3750
7 Al 0.7500 0.7654 0.8750
8 Al 0.7654 0.2500 0.1250
9 Cr 0.0000 0.0000 0.0000
10 Cr 0.0000 0.5000 0.2500
11 Cr 0.5000 0.0000 0.7500
12 Cr 0.5000 0.5000 0.5000
13 Ga 0.0000 0.0000 0.5000
14 Ga 0.0000 0.5000 0.7500
15 Ga 0.5000 0.0000 0.2500
16 Ga 0.5000 0.5000 0.0000